Below is crystalline K3Bi at its relaxed geometry, with properties calculated at the GGA-PBE level.

The structure in extended XYZ format:
```
4
Lattice="6.1477 0.0000 0.0000 0.0000 6.1477 0.0000 -3.0738 -3.0738 4.3626" Properties=species:S:1:pos:R:3 pbc="T T T"
K 3.0738 3.0738 0.0000
Bi 0.0000 0.0000 0.0000
K 3.0738 0.0000 2.1813
K 0.0000 3.0738 2.1813
```

Energy of formation from the pure elements   -1.42 eV/f.u.
Total DFT energy (no corrections)   -2.15 eV per atom
Symmetry   I4/mmm